No. 1
The following is a PBE calculation of a relaxed structure of LuBiPb2O6, from the Open Quantum Materials Database.

Values from the calculation:
- space-group type = P-1, No. 2

Unit cell a=5.2846 b=5.3337 c=5.8460 alpha=97.98 beta=99.86 gamma=103.69
Atoms (fractional coordinates):
Lu 0.0000 0.0000 0.0000
Bi 0.5000 0.5000 0.0000
Pb 0.2488 0.7250 0.4454
Pb 0.7512 0.2750 0.5546
O 0.1770 0.2351 0.7430
O 0.2922 0.7841 0.0652
O 0.3018 0.3276 0.2584
O 0.6982 0.6724 0.7416
O 0.7078 0.2159 0.9348
O 0.8230 0.7649 0.2570

No. 2
The following is a PBE calculation of a relaxed structure of LuBiPb2O6, from the Open Quantum Materials Database.

Values from the calculation:
- space-group type = P2_1/c, No. 14

Unit cell a=5.8923 b=5.9531 c=10.2266 alpha=90.00 beta=125.16 gamma=90.00
Atoms (fractional coordinates):
Lu 0.0000 0.0000 0.0000
Lu 0.0000 0.5000 0.5000
Bi 0.5000 0.0000 0.5000
Bi 0.5000 0.5000 0.0000
Pb 0.2425 0.0299 0.7500
Pb 0.2425 0.4701 0.2500
Pb 0.7575 0.5299 0.7500
Pb 0.7575 0.9701 0.2500
O 0.1708 0.2067 0.4572
O 0.1708 0.2933 0.9572
O 0.2535 0.7131 0.4571
O 0.2535 0.7869 0.9571
O 0.3375 0.0186 0.2541
O 0.3375 0.4814 0.7541
O 0.6625 0.5186 0.2459
O 0.6625 0.9814 0.7459
O 0.7465 0.2131 0.0429
O 0.7465 0.2869 0.5429
O 0.8292 0.7067 0.0428
O 0.8292 0.7933 0.5428

No. 3
The following is a PBE calculation of a relaxed structure of Lu2BiOs, from the Open Quantum Materials Database.

Values from the calculation:
- space-group type = F-43m, No. 216

Unit cell a=7.0464 b=7.0464 c=7.0464 alpha=90.00 beta=90.00 gamma=90.00
Atoms (fractional coordinates):
Lu 0.0000 0.0000 0.0000
Lu 0.0000 0.5000 0.5000
Lu 0.2500 0.2500 0.2500
Lu 0.2500 0.7500 0.7500
Lu 0.5000 0.0000 0.5000
Lu 0.5000 0.5000 0.0000
Lu 0.7500 0.2500 0.7500
Lu 0.7500 0.7500 0.2500
Bi 0.0000 0.0000 0.5000
Bi 0.0000 0.5000 0.0000
Bi 0.5000 0.0000 0.0000
Bi 0.5000 0.5000 0.5000
Os 0.2500 0.2500 0.7500
Os 0.2500 0.7500 0.2500
Os 0.7500 0.2500 0.2500
Os 0.7500 0.7500 0.7500

No. 4
The following is a PBE calculation of a relaxed structure of Lu3Sc3Bi2Os, from the Open Quantum Materials Database.

Values from the calculation:
- space-group type = P-62m, No. 189

Unit cell a=8.0179 b=8.0179 c=4.0646 alpha=90.00 beta=90.00 gamma=120.00
Atoms (fractional coordinates):
Lu 0.0000 0.2377 0.0000
Lu 0.2377 0.0000 0.0000
Lu 0.7623 0.7623 0.0000
Sc 0.0000 0.6207 0.5000
Sc 0.3793 0.3793 0.5000
Sc 0.6207 0.0000 0.5000
Bi 0.3333 0.6667 0.0000
Bi 0.6667 0.3333 0.0000
Os 0.0000 0.0000 0.5000

No. 5
The following is a PBE calculation of a relaxed structure of Lu3Sc3Bi2Os, from the Open Quantum Materials Database.

Values from the calculation:
- space-group type = P-62m, No. 189

Unit cell a=7.8778 b=7.8778 c=4.1782 alpha=90.00 beta=90.00 gamma=120.00
Atoms (fractional coordinates):
Lu 0.0000 0.6197 0.0000
Lu 0.3803 0.3803 0.0000
Lu 0.6197 0.0000 0.0000
Sc 0.0000 0.2263 0.5000
Sc 0.2263 0.0000 0.5000
Sc 0.7737 0.7737 0.5000
Bi 0.3333 0.6667 0.5000
Bi 0.6667 0.3333 0.5000
Os 0.0000 0.0000 0.0000

No. 6
The following is a PBE calculation of a relaxed structure of TmLu2Sc3Bi2Os, from the Open Quantum Materials Database.

Values from the calculation:
- space-group type = Amm2, No. 38

Unit cell a=4.1864 b=7.8550 c=7.8550 alpha=119.97 beta=90.00 gamma=90.00
Atoms (fractional coordinates):
Tm 0.0000 0.0000 0.0000
Lu 0.0000 0.3834 0.7654
Lu 0.0000 0.7654 0.3834
Sc 0.5000 0.1584 0.3838
Sc 0.5000 0.3838 0.1584
Sc 0.5000 0.6108 0.6108
Bi 0.5000 0.0505 0.7161
Bi 0.5000 0.7161 0.0505
Os 0.0000 0.3861 0.3861

No. 7
The following is a PBE calculation of a relaxed structure of Tm2Lu3ScBi2Os, from the Open Quantum Materials Database.

Values from the calculation:
- space-group type = Amm2, No. 38

Unit cell a=4.1549 b=8.0924 c=8.0924 alpha=119.64 beta=90.00 gamma=90.00
Atoms (fractional coordinates):
Tm 0.0000 0.1913 0.8087
Tm 0.0000 0.8087 0.1913
Lu 0.5000 0.1944 0.4272
Lu 0.5000 0.4272 0.1944
Lu 0.5000 0.9585 0.9585
Sc 0.0000 0.5698 0.5698
Bi 0.5000 0.5260 0.8536
Bi 0.5000 0.8536 0.5260
Os 0.0000 0.1920 0.1920

No. 8
The following is a PBE calculation of a relaxed structure of YTm3Lu2Bi2Os, from the Open Quantum Materials Database.

Values from the calculation:
- space-group type = Amm2, No. 38

Unit cell a=4.2097 b=8.2030 c=8.2030 alpha=120.32 beta=90.00 gamma=90.00
Atoms (fractional coordinates):
Y 0.0000 0.0000 0.0000
Tm 0.5000 0.2367 0.8526
Tm 0.5000 0.6156 0.6156
Tm 0.5000 0.8526 0.2367
Lu 0.0000 0.2355 0.4685
Lu 0.0000 0.4685 0.2355
Bi 0.0000 0.5661 0.9021
Bi 0.0000 0.9021 0.5661
Os 0.5000 0.2423 0.2423

No. 9
The following is a PBE calculation of a relaxed structure of LuPaBi, from the Open Quantum Materials Database.

Values from the calculation:
- space-group type = F-43m, No. 216

Unit cell a=7.2942 b=7.2942 c=7.2942 alpha=90.00 beta=90.00 gamma=90.00
Atoms (fractional coordinates):
Lu 0.0000 0.0000 0.0000
Lu 0.0000 0.5000 0.5000
Lu 0.5000 0.0000 0.5000
Lu 0.5000 0.5000 0.0000
Pa 0.2500 0.2500 0.2500
Pa 0.2500 0.7500 0.7500
Pa 0.7500 0.2500 0.7500
Pa 0.7500 0.7500 0.2500
Bi 0.2500 0.2500 0.7500
Bi 0.2500 0.7500 0.2500
Bi 0.7500 0.2500 0.2500
Bi 0.7500 0.7500 0.7500

No. 10
The following is a PBE calculation of a relaxed structure of LuBiPb2, from the Open Quantum Materials Database.

Values from the calculation:
- space-group type = F-43m, No. 216

Unit cell a=7.8131 b=7.8131 c=7.8131 alpha=90.00 beta=90.00 gamma=90.00
Atoms (fractional coordinates):
Lu 0.0000 0.0000 0.0000
Lu 0.0000 0.5000 0.5000
Lu 0.5000 0.0000 0.5000
Lu 0.5000 0.5000 0.0000
Bi 0.2500 0.2500 0.7500
Bi 0.2500 0.7500 0.2500
Bi 0.7500 0.2500 0.2500
Bi 0.7500 0.7500 0.7500
Pb 0.0000 0.0000 0.5000
Pb 0.0000 0.5000 0.0000
Pb 0.2500 0.2500 0.2500
Pb 0.2500 0.7500 0.7500
Pb 0.5000 0.0000 0.0000
Pb 0.5000 0.5000 0.5000
Pb 0.7500 0.2500 0.7500
Pb 0.7500 0.7500 0.2500

No. 11
The following is a PBE calculation of a relaxed structure of LuBiTe3Pb, from the Open Quantum Materials Database.

Values from the calculation:
- space-group type = Cmcm, No. 63

Unit cell a=8.0365 b=8.0365 c=12.4799 alpha=90.00 beta=90.00 gamma=149.48
Atoms (fractional coordinates):
Lu 0.0000 0.0000 0.0000
Lu 0.0000 0.0000 0.5000
Bi 0.3565 0.6435 0.7500
Bi 0.6435 0.3565 0.2500
Te 0.0207 0.9793 0.7500
Te 0.3619 0.6381 0.5022
Te 0.3619 0.6381 0.9978
Te 0.6381 0.3619 0.0022
Te 0.6381 0.3619 0.4978
Te 0.9793 0.0207 0.2500
Pb 0.3188 0.6812 0.2500
Pb 0.6812 0.3188 0.7500

No. 12
The following is a PBE calculation of a relaxed structure of Lu2BiPd, from the Open Quantum Materials Database.

Values from the calculation:
- space-group type = F-43m, No. 216

Unit cell a=7.2843 b=7.2843 c=7.2843 alpha=90.00 beta=90.00 gamma=90.00
Atoms (fractional coordinates):
Lu 0.0000 0.0000 0.0000
Lu 0.0000 0.5000 0.5000
Lu 0.2500 0.2500 0.2500
Lu 0.2500 0.7500 0.7500
Lu 0.5000 0.0000 0.5000
Lu 0.5000 0.5000 0.0000
Lu 0.7500 0.2500 0.7500
Lu 0.7500 0.7500 0.2500
Bi 0.0000 0.0000 0.5000
Bi 0.0000 0.5000 0.0000
Bi 0.5000 0.0000 0.0000
Bi 0.5000 0.5000 0.5000
Pd 0.2500 0.2500 0.7500
Pd 0.2500 0.7500 0.2500
Pd 0.7500 0.2500 0.2500
Pd 0.7500 0.7500 0.7500

Number 1: total DFT energy (no corrections) -61.0 eV for the cell shown. Number 2: total DFT energy (no corrections) -124.7 eV for the cell shown. Number 3: total DFT energy (no corrections) -96.4 eV for the cell shown. Number 4: total DFT energy (no corrections) -56.4 eV for the cell shown. Number 5: total DFT energy (no corrections) -57.1 eV for the cell shown. Number 6: total DFT energy (no corrections) -57.1 eV for the cell shown. Number 7: total DFT energy (no corrections) -53.0 eV for the cell shown. Number 8: total DFT energy (no corrections) -53.2 eV for the cell shown. Number 9: total DFT energy (no corrections) -64.3 eV for the cell shown. Number 10: total DFT energy (no corrections) -65.6 eV for the cell shown. Number 11: total DFT energy (no corrections) -50.2 eV for the cell shown. Number 12: total DFT energy (no corrections) -76.5 eV for the cell shown.